## PmDyHoIn (PBE)

Data for a relaxed structure of PmDyHoIn.

Output
offset from the most stable computed form: 41 meV per atom
space group: No. 216
D(E_F): 5.79 states/eV/cell
E_form: -0.4 eV per formula unit
total energy: -4.27 eV per atom

Structure (POSCAR):
```
PmDyHoIn
1.0
5.475 0.000 0.000
0.000 5.475 0.000
-2.738 -2.738 3.874
Pm Dy Ho In
1 1 1 1
Direct
0.750 0.250 0.500
0.500 0.500 0.000
0.000 0.000 0.000
0.250 0.750 0.500
```


## Pm2Dy5HoIn (PBE)

Data for a relaxed structure of Pm2Dy5HoIn.

Output
space group: No. 63
D(E_F): 25.24 states/eV/cell
E_form: -0.1 eV per formula unit
total energy: -4.44 eV per atom

Structure (POSCAR):
```
Pm2Dy5HoIn
1.0
5.378 0.000 0.000
-2.689 10.066 0.000
0.000 0.000 10.553
Pm Dy Ho In
4 10 2 2
Direct
0.884 0.767 0.800
0.116 0.233 0.716
0.116 0.233 0.300
0.884 0.767 0.216
0.384 0.767 0.008
0.710 0.421 0.810
0.500 0.000 0.758
0.290 0.579 0.707
0.988 0.975 0.508
0.616 0.233 0.508
0.290 0.579 0.310
0.500 0.000 0.258
0.710 0.421 0.207
0.012 0.025 0.008
0.793 0.586 0.508
0.207 0.414 0.008
0.595 0.191 0.008
0.405 0.809 0.508
```


## PrDyHo2In4 (PBE)

Data for a relaxed structure of PrDyHo2In4.

Output
space group: No. 166
D(E_F): 3.75 states/eV/cell
E_form: -3.7 eV per formula unit
total energy: -4.15 eV per atom

Structure (POSCAR):
```
PrDyHo2In4
1.0
-1.014 -0.756 5.202
-4.775 -1.857 1.554
1.068 -9.090 1.642
Pr Dy Ho In
1 1 2 4
Direct
0.000 0.000 0.000
0.500 0.500 0.500
0.750 0.750 0.749
0.250 0.250 0.251
0.377 0.377 0.870
0.873 0.873 0.380
0.127 0.127 0.620
0.623 0.623 0.130
```